## HfSc4Pt5 (PBE)

Data for a relaxed structure of HfSc4Pt5.

DOS(E_F)	0.655	states/eV/atom
formation energy	-1.187	eV per atom

abc: 3.2535 3.2535 17.0755
angles: 90.00 90.00 90.00
Fractional coordinates of all 10 atoms:
Hf1 0.0000 0.0000 0.0000
Sc1 0.0000 0.0000 0.2023
Sc2 0.0000 0.0000 0.4005
Sc3 0.0000 0.0000 0.5995
Sc4 0.0000 0.0000 0.7977
Pt1 0.5000 0.5000 0.0987
Pt2 0.5000 0.5000 0.3018
Pt3 0.5000 0.5000 0.5000
Pt4 0.5000 0.5000 0.6982
Pt5 0.5000 0.5000 0.9013